A | A relaxed structure of ZnNi4O5. Source: Alexandria, functional GGA-PBEsol.

Properties
spin magnetization	1.0	Bohr magnetons per cell

Geometry as POSCAR:
```
ZnNi4O5
1.0
4.131 0.000 0.000
2.066 4.611 0.000
2.066 0.000 4.611
Zn Ni O
1 4 5
Direct
0.000 0.000 0.000
0.399 0.799 0.402
0.198 0.402 0.201
0.802 0.598 0.799
0.601 0.201 0.598
0.500 0.000 0.000
0.115 0.192 0.578
0.885 0.808 0.422
0.693 0.422 0.192
0.307 0.578 0.808
```

B | A relaxed structure of ZnNi4O5. Source: Alexandria, functional GGA-PBEsol.

Properties
spin magnetization	3.7	Bohr magnetons per cell

Geometry as POSCAR:
```
ZnNi4O5
1.0
2.943 0.000 0.000
-1.471 6.374 -0.023
0.000 -2.054 9.491
Zn Ni O
2 8 10
Direct
0.900 0.800 0.699
0.100 0.200 0.301
0.600 0.200 0.801
0.300 0.600 0.902
0.400 0.800 0.199
0.700 0.400 0.098
0.799 0.598 0.397
0.000 0.000 0.000
0.201 0.402 0.603
0.500 0.000 0.500
0.749 0.497 0.752
0.848 0.696 0.050
0.453 0.905 0.856
0.152 0.304 0.950
0.251 0.503 0.248
0.547 0.095 0.144
0.652 0.303 0.454
0.348 0.697 0.546
0.949 0.898 0.350
0.051 0.102 0.650
```

Stability ranking, top and bottom: B is the most stable and A is the least stable.

A | A relaxed structure of NiPOs2. Source: Alexandria, functional GGA-PBEsol.

Properties
spin magnetization	0.0	Bohr magnetons per cell

Geometry as POSCAR:
```
NiPOs2
1.0
-1.197 -2.177 -1.335
0.825 -1.725 2.073
-5.322 1.078 3.014
Ni Os P
1 2 1
Direct
0.500 0.500 0.706
0.000 0.000 0.990
0.500 0.500 0.275
0.000 0.000 0.529
```

B | A relaxed structure of NiPOs2. Source: Alexandria, functional GGA-PBEsol.

Properties
spin magnetization	0.0	Bohr magnetons per cell

Geometry as POSCAR:
```
NiPOs2
1.0
-1.295 -0.619 2.360
-1.671 -3.046 -1.715
5.258 -0.989 1.010
Ni Os P
1 2 1
Direct
0.000 0.500 0.000
0.806 0.806 0.612
0.194 0.194 0.388
0.500 0.000 0.000
```

Stability ranking, top and bottom: A is the most stable and B is the least stable.

A | A relaxed structure of NiPOs2. Source: Alexandria, functional GGA-PBEsol.

Properties
spin magnetization	0.0	Bohr magnetons per cell

Geometry as POSCAR:
```
NiPOs2
1.0
2.758 0.000 0.000
0.000 3.570 0.000
0.000 0.000 5.189
Ni Os P
1 2 1
Direct
0.500 0.500 0.736
0.000 0.000 0.989
0.500 0.500 0.239
0.000 0.000 0.536
```

B | A relaxed structure of NiPOs2. Source: Alexandria, functional GGA-PBEsol.

Properties
spin magnetization	0.0	Bohr magnetons per cell

Geometry as POSCAR:
```
NiPOs2
1.0
2.736 -0.009 0.000
-0.278 4.626 0.000
-1.229 -2.308 4.114
Ni Os P
1 2 1
Direct
0.500 0.000 0.000
0.500 0.500 0.500
0.000 0.000 0.500
0.000 0.500 0.000
```

Stability ranking, top and bottom: A is the most stable and B is the least stable.

A | A relaxed structure of NiOsPb2. Source: Alexandria, functional GGA-PBEsol.

Properties
spin magnetization	0.0	Bohr magnetons per cell

Geometry as POSCAR:
```
NiOsPb2
1.0
-2.852 0.065 -1.162
1.469 -1.530 -3.693
-0.207 -4.715 4.327
Ni Os Pb
1 1 2
Direct
0.497 0.497 0.993
0.817 0.317 0.634
0.976 0.976 0.952
0.211 0.711 0.422
```

B | A relaxed structure of NiOsPb2. Source: Alexandria, functional GGA-PBEsol.

Properties
spin magnetization	0.0	Bohr magnetons per cell

Geometry as POSCAR:
```
NiOsPb2
1.0
3.297 0.000 0.294
0.000 3.308 0.000
-0.259 0.000 6.552
Ni Os Pb
1 1 2
Direct
0.500 0.500 0.000
0.500 0.500 0.500
0.983 0.000 0.756
0.017 0.000 0.244
```

Stability ranking, top and bottom: A is the most stable and B is the least stable.

A | A relaxed structure of NiOs2Pt. Source: Alexandria, functional GGA-PBEsol.

Properties
spin magnetization	0.0	Bohr magnetons per cell

Geometry as POSCAR:
```
NiOs2Pt
1.0
-2.260 -1.056 1.000
2.286 -3.845 1.107
1.671 2.875 3.203
Ni Os Pt
1 2 1
Direct
0.000 0.500 0.000
0.253 0.261 0.505
0.747 0.739 0.495
0.500 0.000 0.000
```

B | A relaxed structure of NiOs2Pt. Source: Alexandria, functional GGA-PBEsol.

Properties
spin magnetization	0.0	Bohr magnetons per cell

Geometry as POSCAR:
```
NiOs2Pt
1.0
-1.043 1.847 -3.689
-4.017 1.209 -0.713
-0.990 4.137 -0.102
Ni Os Pt
1 2 1
Direct
0.000 0.000 0.000
0.250 0.250 0.250
0.750 0.750 0.750
0.500 0.500 0.500
```

C | A relaxed structure of NiOs2Pt. Source: Alexandria, functional GGA-PBEsol.

Properties
spin magnetization	0.0	Bohr magnetons per cell

Geometry as POSCAR:
```
NiOs2Pt
1.0
2.701 0.000 0.000
0.000 3.733 0.000
0.000 0.000 5.332
Ni Os Pt
1 2 1
Direct
0.500 0.500 0.753
0.000 0.000 0.002
0.500 0.500 0.233
0.000 0.000 0.512
```

Stability ranking, top and bottom: C is the most stable and B is the least stable.

A | A relaxed structure of NiOsRu. Source: Alexandria, functional GGA-PBEsol.

Properties
spin magnetization	0.0	Bohr magnetons per cell

Geometry as POSCAR:
```
NiOsRu
1.0
-0.891 1.736 2.328
-2.629 0.551 -1.418
0.089 -4.441 1.364
Ni Os Ru
1 1 1
Direct
0.002 0.002 0.005
0.658 0.658 0.316
0.340 0.340 0.680
```

B | A relaxed structure of NiOsRu. Source: Alexandria, functional GGA-PBEsol.

Properties
spin magnetization	0.0	Bohr magnetons per cell

Geometry as POSCAR:
```
NiOsRu
1.0
-2.333 0.809 -1.012
-0.980 -3.479 -0.521
0.084 1.246 4.323
Ru Os Ni
1 1 1
Direct
0.668 0.668 0.335
0.333 0.333 0.666
0.999 0.999 0.998
```

C | A relaxed structure of NiOsRu. Source: Alexandria, functional GGA-PBEsol.

Properties
spin magnetization	0.0	Bohr magnetons per cell

Geometry as POSCAR:
```
NiOsRu
1.0
2.656 0.000 0.000
0.000 2.656 0.000
-1.328 -1.328 5.408
Ni Os Ru
1 1 1
Direct
0.001 0.001 0.001
0.666 0.666 0.332
0.334 0.334 0.667
```

Stability ranking, top and bottom: B is the most stable and A is the least stable.